# 1
# K2HoH6

Crystalline K2HoH6 at its relaxed geometry (PBE, the Alexandria database).

Structure (CIF):
```
data_K2HoH6
_chemical_formula_sum 'K8 Ho4 H24'
_symmetry_space_group_name_H-M 'F m -3 m'
_symmetry_Int_Tables_number 225
_symmetry_space_group_name_Hall '-F 4 2 3'
_cell_length_a 8.660
_cell_length_b 8.660
_cell_length_c 8.660
_cell_angle_alpha 90.00
_cell_angle_beta 90.00
_cell_angle_gamma 90.00
loop_
_atom_site_label
_atom_site_type_symbol
_atom_site_fract_x
_atom_site_fract_y
_atom_site_fract_z
K1 K 0.250 0.250 0.250
Ho1 Ho 0.000 0.000 0.000
H1 H 0.000 0.000 0.245
```

The density of states at the Fermi level comes out at 15.02 states/eV/cell. Its total energy is -2.873 eV per atom.

=====

# 2
# LaHgBi2Pt

Crystalline LaHgBi2Pt at its relaxed geometry (PBE, the Alexandria database).

Structure (CIF):
```
data_LaHgBi2Pt
_chemical_formula_sum 'La1 Hg1 Bi2 Pt1'
_symmetry_space_group_name_H-M 'P 4/m m m'
_symmetry_Int_Tables_number 123
_symmetry_space_group_name_Hall '-P 4 2'
_cell_length_a 6.093
_cell_length_b 6.093
_cell_length_c 5.865
_cell_angle_alpha 90.00
_cell_angle_beta 90.00
_cell_angle_gamma 90.00
loop_
_atom_site_label
_atom_site_type_symbol
_atom_site_fract_x
_atom_site_fract_y
_atom_site_fract_z
La1 La 0.000 0.000 0.000
Hg1 Hg 0.000 0.000 0.500
Bi1 Bi 0.000 0.500 0.000
Pt1 Pt 0.500 0.500 0.500
```

The calculation puts the formation energy at 1.0433 eV/atom. The density of states at the Fermi level comes out at 5.69 states/eV/cell. Its total energy is -2.763 eV per atom.

=====

# 3
# Ac3Al4Cu2

Crystalline Ac3Al4Cu2 at its relaxed geometry (PBE, the Alexandria database).

Structure (CIF):
```
data_Ac3Al4Cu2
_chemical_formula_sum 'Ac6 Al8 Cu4'
_symmetry_space_group_name_H-M 'C 1 2/m 1'
_symmetry_Int_Tables_number 12
_cell_length_a 11.875
_cell_length_b 4.378
_cell_length_c 9.332
_cell_angle_alpha 90.00
_cell_angle_beta 110.12
_cell_angle_gamma 90.00
loop_
_symmetry_equiv_pos_as_xyz
'x,y,z'
'-x,-y,-z'
'-x,y,-z'
'x,-y,z'
'x+1/2,y+1/2,z'
'-x+1/2,-y+1/2,-z'
'-x+1/2,y+1/2,-z'
'x+1/2,-y+1/2,z'
loop_
_atom_site_label
_atom_site_type_symbol
_atom_site_fract_x
_atom_site_fract_y
_atom_site_fract_z
Ac1 Ac 0.000 0.000 0.000
Ac2 Ac 0.095 0.500 0.689
Al1 Al 0.160 0.000 0.433
Al2 Al 0.228 0.500 0.066
Cu1 Cu 0.179 0.500 0.305
```

The calculation puts the formation energy at -0.2848 eV/atom. The density of states at the Fermi level comes out at 18.27 states/eV/cell. Its total energy is -4.228 eV per atom.

=====

# 4
# Sn3SeS3

Crystalline Sn3SeS3 at its relaxed geometry (PBE, the Alexandria database).

Structure (CIF):
```
data_Sn3SeS3
_chemical_formula_sum 'Sn6 Se2 S6'
_symmetry_space_group_name_H-M 'P 1 21/m 1'
_symmetry_Int_Tables_number 11
_cell_length_a 8.847
_cell_length_b 3.906
_cell_length_c 11.095
_cell_angle_alpha 90.00
_cell_angle_beta 91.95
_cell_angle_gamma 90.00
loop_
_symmetry_equiv_pos_as_xyz
'x,y,z'
'-x,-y,-z'
'-x,y+1/2,-z'
'x,-y+1/2,z'
loop_
_atom_site_label
_atom_site_type_symbol
_atom_site_fract_x
_atom_site_fract_y
_atom_site_fract_z
Sn1 Sn 0.124 0.250 0.144
Sn2 Sn 0.334 0.750 0.862
Sn3 Sn 0.365 0.750 0.386
Se1 Se 0.367 0.750 0.136
S1 S 0.133 0.250 0.860
S2 S 0.174 0.250 0.393
S3 S 0.420 0.750 0.618
```

The density of states at the Fermi level comes out at 2.99 states/eV/cell. Its total energy is -4.336 eV per atom. Its offset from the most stable computed form is 0.000 eV per atom.

=====

Repeat the first record exactly.
# K2HoH6

Crystalline K2HoH6 at its relaxed geometry (PBE, the Alexandria database).

Structure (CIF):
```
data_K2HoH6
_chemical_formula_sum 'K8 Ho4 H24'
_symmetry_space_group_name_H-M 'F m -3 m'
_symmetry_Int_Tables_number 225
_symmetry_space_group_name_Hall '-F 4 2 3'
_cell_length_a 8.660
_cell_length_b 8.660
_cell_length_c 8.660
_cell_angle_alpha 90.00
_cell_angle_beta 90.00
_cell_angle_gamma 90.00
loop_
_atom_site_label
_atom_site_type_symbol
_atom_site_fract_x
_atom_site_fract_y
_atom_site_fract_z
K1 K 0.250 0.250 0.250
Ho1 Ho 0.000 0.000 0.000
H1 H 0.000 0.000 0.245
```

The density of states at the Fermi level comes out at 15.02 states/eV/cell. Its total energy is -2.873 eV per atom.